## ReAuSe2 (PBE)

Data for a relaxed structure of ReAuSe2.

Geometry as CIF:
```
data_ReAuSe2
_chemical_formula_sum 'Re1 Au1 Se2'
_symmetry_space_group_name_H-M 'P 1'
_symmetry_Int_Tables_number 1
_cell_length_a 2.980
_cell_length_b 2.980
_cell_length_c 9.246
_cell_angle_alpha 90.00
_cell_angle_beta 90.00
_cell_angle_gamma 90.00
loop_
_symmetry_equiv_pos_as_xyz
'x,y,z'
loop_
_atom_site_label
_atom_site_type_symbol
_atom_site_fract_x
_atom_site_fract_y
_atom_site_fract_z
Re1 Re 0.000 0.000 0.000
Au1 Au 0.000 0.000 0.500
Se1 Se 0.500 0.500 0.172
Se2 Se 0.500 0.500 0.828
```

Computed properties:
The value obtained for the calculated total energy is -21.710 eV/cell. For the density of states at the Fermi level, the calculation gives 1.9 states/eV/cell. The uncorrected formation energy is 246.1 meV per atom. The relative energy among the computed polymorphs is 133.2 meV/atom.